Computed, not measured: a geometry-optimized Na2Be2MoO6 structure at the PBE+U level of DFT.

Cell lengths 5.187, 5.187, 5.929 Å; angles 90.00, 90.00, 120.00 degrees
Positions (direct):
O 0.086 0.746 0.809
Be 0.667 0.333 0.173
Be 0.333 0.667 0.827
O 0.254 0.339 0.809
O 0.914 0.254 0.191
Na 0.333 0.667 0.337
O 0.746 0.661 0.191
Mo 0.000 0.000 0.000
O 0.339 0.086 0.191
Na 0.667 0.333 0.663
O 0.661 0.914 0.809

Properties
The symmetry is No. 147. The calculation puts the calculated total energy at -68.2 eV per cell. For the spin magnetization, the calculation gives 0.0 μB/cell. Its mass density is 3.08 g cm⁻³. The calculation puts the density of states at the Fermi level at 0.00 states/eV/f.u.